# BeV2Os2, optimized geometry, DFT PBE
# Formation enthalpy at 0 K   0.178 eV per atom
data_BeV2Os2
_symmetry_space_group_name_H-M 'P 4/m b m'
_symmetry_Int_Tables_number 127
_symmetry_space_group_name_Hall '-P 4 2ab'
_cell_length_a 7.058
_cell_length_b 7.058
_cell_length_c 2.888
_cell_angle_alpha 90.00
_cell_angle_beta 90.00
_cell_angle_gamma 90.00
loop_
_atom_site_label
_atom_site_type_symbol
_atom_site_fract_x
_atom_site_fract_y
_atom_site_fract_z
Be1 Be 0.000 0.000 0.000
V1 V 0.157 0.343 0.500
Os1 Os 0.145 0.645 0.000

---

# Ni2HgTe2, optimized geometry, DFT PBE
# Formation energy (no corrections)   0.1750 eV per atom
# Relative energy among the computed polymorphs   0.284 eV per atom
data_Ni2HgTe2
_symmetry_space_group_name_H-M 'I 4/m m m'
_symmetry_Int_Tables_number 139
_symmetry_space_group_name_Hall '-I 4 2'
_cell_length_a 5.097
_cell_length_b 5.097
_cell_length_c 8.148
_cell_angle_alpha 90.00
_cell_angle_beta 90.00
_cell_angle_gamma 90.00
loop_
_atom_site_label
_atom_site_type_symbol
_atom_site_fract_x
_atom_site_fract_y
_atom_site_fract_z
Ni1 Ni 0.000 0.000 0.162
Hg1 Hg 0.000 0.000 0.500
Te1 Te 0.000 0.500 0.250

---

# LiSb2IrRu, optimized geometry, DFT PBE
# Formation energy (no corrections)   0.8748 eV per atom
data_LiSb2IrRu
_symmetry_space_group_name_H-M 'P 4/m m m'
_symmetry_Int_Tables_number 123
_symmetry_space_group_name_Hall '-P 4 2'
_cell_length_a 4.682
_cell_length_b 4.682
_cell_length_c 4.044
_cell_angle_alpha 90.00
_cell_angle_beta 90.00
_cell_angle_gamma 90.00
loop_
_atom_site_label
_atom_site_type_symbol
_atom_site_fract_x
_atom_site_fract_y
_atom_site_fract_z
Li1 Li 0.000 0.000 0.000
Sb1 Sb 0.000 0.500 0.000
Ir1 Ir 0.500 0.500 0.500
Ru1 Ru 0.000 0.000 0.500

---

# SrAs2RhO8, optimized geometry, DFT PBE
# Formation energy (no corrections)   -1.1993 eV per atom
data_SrAs2RhO8
_symmetry_space_group_name_H-M 'R 3 2'
_symmetry_Int_Tables_number 155
_symmetry_space_group_name_Hall 'R 3 2"'
_cell_length_a 4.9384
_cell_length_b 4.9384
_cell_length_c 24.1223
_cell_angle_alpha 90.00
_cell_angle_beta 90.00
_cell_angle_gamma 120.00
loop_
_atom_site_label
_atom_site_type_symbol
_atom_site_fract_x
_atom_site_fract_y
_atom_site_fract_z
Sr1 Sr 0.0000 0.0000 0.0000
As1 As 0.0000 0.0000 0.2425
Rh1 Rh 0.0000 0.0000 0.5000
O1 O 0.0000 0.0000 0.3131
O2 O 0.0121 0.3155 0.4439

---

# ReSbRu3, optimized geometry, DFT PBE
# Formation energy (no corrections)   1.4286 eV per atom
# Relative energy among the computed polymorphs   0.000 eV per atom
data_ReSbRu3
_symmetry_space_group_name_H-M 'P m -3 m'
_symmetry_Int_Tables_number 221
_symmetry_space_group_name_Hall '-P 4 2 3'
_cell_length_a 4.702
_cell_length_b 4.702
_cell_length_c 4.702
_cell_angle_alpha 90.00
_cell_angle_beta 90.00
_cell_angle_gamma 90.00
loop_
_atom_site_label
_atom_site_type_symbol
_atom_site_fract_x
_atom_site_fract_y
_atom_site_fract_z
Re1 Re 0.000 0.000 0.000
Sb1 Sb 0.500 0.500 0.500
Ru1 Ru 0.000 0.000 0.500

---

# YV2Cr4, optimized geometry, DFT PBE
# Formation enthalpy at 0 K   1.665 eV per atom
data_YV2Cr4
_symmetry_space_group_name_H-M 'I 4/m m m'
_symmetry_Int_Tables_number 139
_symmetry_space_group_name_Hall '-I 4 2'
_cell_length_a 4.786
_cell_length_b 4.786
_cell_length_c 12.065
_cell_angle_alpha 90.00
_cell_angle_beta 90.00
_cell_angle_gamma 90.00
loop_
_atom_site_label
_atom_site_type_symbol
_atom_site_fract_x
_atom_site_fract_y
_atom_site_fract_z
Y1 Y 0.000 0.000 0.000
V1 V 0.000 0.000 0.389
Cr1 Cr 0.000 0.000 0.223
Cr2 Cr 0.000 0.500 0.000

---

# Sr2ScIn3Pt4, optimized geometry, DFT PBE
# Formation enthalpy at 0 K   -0.760 eV per atom
data_Sr2ScIn3Pt4
_symmetry_space_group_name_H-M 'P -4 m 2'
_symmetry_Int_Tables_number 115
_cell_length_a 4.566
_cell_length_b 4.566
_cell_length_c 11.392
_cell_angle_alpha 90.00
_cell_angle_beta 90.00
_cell_angle_gamma 90.00
loop_
_symmetry_equiv_pos_as_xyz
'x,y,z'
'y,-x,-z'
'-x,-y,z'
'-y,x,-z'
'-x,y,z'
'-y,-x,-z'
'x,-y,z'
'y,x,-z'
loop_
_atom_site_label
_atom_site_type_symbol
_atom_site_fract_x
_atom_site_fract_y
_atom_site_fract_z
Sr1 Sr 0.000 0.500 0.234
Sc1 Sc 0.000 0.000 0.500
In1 In 0.000 0.500 0.873
In2 In 0.500 0.500 0.500
Pt1 Pt 0.000 0.000 0.000
Pt2 Pt 0.000 0.500 0.635
Pt3 Pt 0.500 0.500 0.000

---

# Ac3CdRu, optimized geometry, DFT PBE
# Formation enthalpy at 0 K   -0.163 eV per atom
# Relative energy among the computed polymorphs   0.070 eV per atom
data_Ac3CdRu
_symmetry_space_group_name_H-M 'P m -3 m'
_symmetry_Int_Tables_number 221
_symmetry_space_group_name_Hall '-P 4 2 3'
_cell_length_a 5.721
_cell_length_b 5.721
_cell_length_c 5.721
_cell_angle_alpha 90.00
_cell_angle_beta 90.00
_cell_angle_gamma 90.00
loop_
_atom_site_label
_atom_site_type_symbol
_atom_site_fract_x
_atom_site_fract_y
_atom_site_fract_z
Ac1 Ac 0.000 0.000 0.500
Cd1 Cd 0.500 0.500 0.500
Ru1 Ru 0.000 0.000 0.000

---

# BaSrCuCO4, optimized geometry, DFT PBE
# Formation energy (no corrections)   -1.0857 eV per atom
data_BaSrCuCO4
_symmetry_space_group_name_H-M 'P 1'
_symmetry_Int_Tables_number 1
_cell_length_a 6.320
_cell_length_b 6.675
_cell_length_c 6.863
_cell_angle_alpha 78.26
_cell_angle_beta 72.44
_cell_angle_gamma 78.15
loop_
_symmetry_equiv_pos_as_xyz
'x,y,z'
loop_
_atom_site_label
_atom_site_type_symbol
_atom_site_fract_x
_atom_site_fract_y
_atom_site_fract_z
Ba1 Ba 0.000 0.000 0.000
Ba2 Ba 0.227 0.460 0.241
Sr1 Sr 0.501 0.974 0.522
Sr2 Sr 0.718 0.444 0.644
Cu1 Cu 0.005 0.962 0.504
Cu2 Cu 0.647 0.693 0.996
C1 C 0.731 0.291 0.291
C2 C 0.742 0.446 0.149
O1 O 0.089 0.174 0.601
O2 O 0.261 0.993 0.268
O3 O 0.319 0.522 0.831
O4 O 0.390 0.717 0.850
O5 O 0.426 0.800 0.263
O6 O 0.610 0.104 0.822
O7 O 0.763 0.914 0.762
O8 O 0.906 0.761 0.406

---

# AgRu3, optimized geometry, DFT PBE
# Formation enthalpy at 0 K   0.763 eV per atom
data_AgRu3
_symmetry_space_group_name_H-M 'R -3 m'
_symmetry_Int_Tables_number 166
_symmetry_space_group_name_Hall '-R 3 2"'
_cell_length_a 8.8851
_cell_length_b 8.8851
_cell_length_c 2.6906
_cell_angle_alpha 90.00
_cell_angle_beta 90.00
_cell_angle_gamma 120.00
loop_
_atom_site_label
_atom_site_type_symbol
_atom_site_fract_x
_atom_site_fract_y
_atom_site_fract_z
Ag1 Ag 0.0000 0.0000 0.0000
Ru1 Ru 0.0000 0.5000 0.0000

---

# Li3Y2InNi12, optimized geometry, DFT PBE
# Formation enthalpy at 0 K   0.107 eV per atom
data_Li3Y2InNi12
_symmetry_space_group_name_H-M 'R -3 m'
_symmetry_Int_Tables_number 166
_symmetry_space_group_name_Hall '-R 3 2"'
_cell_length_a 5.9918
_cell_length_b 5.9918
_cell_length_c 26.0613
_cell_angle_alpha 90.00
_cell_angle_beta 90.00
_cell_angle_gamma 120.00
loop_
_atom_site_label
_atom_site_type_symbol
_atom_site_fract_x
_atom_site_fract_y
_atom_site_fract_z
Li1 Li 0.0000 0.5000 0.0000
Y1 Y 0.0000 0.0000 0.1376
In1 In 0.0000 0.0000 0.5000
Ni1 Ni 0.0605 0.5302 0.8995
Ni2 Ni 0.0762 0.5381 0.6228

---

# Co3TeBr, optimized geometry, DFT PBE
# Formation energy (no corrections)   0.9942 eV per atom
# Relative energy among the computed polymorphs   0.000 eV per atom
data_Co3TeBr
_symmetry_space_group_name_H-M 'P m -3 m'
_symmetry_Int_Tables_number 221
_symmetry_space_group_name_Hall '-P 4 2 3'
_cell_length_a 4.864
_cell_length_b 4.864
_cell_length_c 4.864
_cell_angle_alpha 90.00
_cell_angle_beta 90.00
_cell_angle_gamma 90.00
loop_
_atom_site_label
_atom_site_type_symbol
_atom_site_fract_x
_atom_site_fract_y
_atom_site_fract_z
Co1 Co 0.000 0.000 0.500
Te1 Te 0.000 0.000 0.000
Br1 Br 0.500 0.500 0.500

---

| no. | DFT total energy (eV/atom) | D(E_F) (states/eV/f.u.) |
| --- | --- | --- |
| 1 | -8.7063 | 3.97 |
| 2 | -3.4546 | 3.84 |
| 3 | -4.7842 | 3.75 |
| 4 | -6.0324 | 5.26 |
| 5 | -7.4510 | 7.23 |
| 6 | -7.3624 | 8.98 |
| 7 | -4.9670 | 6.26 |
| 8 | -4.6665 | 5.34 |
| 9 | -5.6803 | 0.15 |
| 10 | -6.9070 | 5.28 |
| 11 | -4.9364 | 24.92 |
| 12 | -4.2322 | 8.23 |